# 1
Material: MnTe3Se
Method: DFT, meta-GGA SCAN
State: PBEsol geometry

Cell and atoms, written as CIF:
```
data_MnTe3Se
_chemical_formula_sum 'Mn1 Te3 Se1'
_cell_length_a 4.9942
_cell_length_b 4.9942
_cell_length_c 4.9942
_cell_angle_alpha 90.00
_cell_angle_beta 90.00
_cell_angle_gamma 90.00
_symmetry_space_group_name_H-M 'P m -3 m'
_symmetry_Int_Tables_number 221
_symmetry_space_group_name_Hall '-P 4 2 3'
loop_
_atom_site_label
_atom_site_fract_x
_atom_site_fract_y
_atom_site_fract_z
Mn1 0.0000 0.0000 0.0000
Te1 0.0000 0.0000 0.5000
Se1 0.5000 0.5000 0.5000
```

Results
* formation energy without anion corrections: 0.3469 eV per atom
* total energy: -29.67 eV per atom
* Fermi-level density of states: 0.819 states/eV per atom
* M_tot: 3.20 μB/f.u.

***

# 2
Material: Mn2TeSe
Method: DFT, meta-GGA SCAN
State: PBEsol geometry

Cell and atoms, written as CIF:
```
data_Mn2TeSe
_chemical_formula_sum 'Mn2 Te1 Se1'
_cell_length_a 4.5340
_cell_length_b 4.5340
_cell_length_c 3.2215
_cell_angle_alpha 90.00
_cell_angle_beta 90.00
_cell_angle_gamma 90.00
_symmetry_space_group_name_H-M 'P 4/m m m'
_symmetry_Int_Tables_number 123
_symmetry_space_group_name_Hall '-P 4 2'
loop_
_atom_site_label
_atom_site_fract_x
_atom_site_fract_y
_atom_site_fract_z
Mn1 0.0000 0.5000 0.0000
Te1 0.0000 0.0000 0.5000
Se1 0.5000 0.5000 0.5000
```

Results
* formation energy without anion corrections: -0.0060 eV per atom
* total energy: -23.47 eV per atom
* Fermi-level density of states: 0.672 states/eV per atom
* M_tot: 6.67 μB/f.u.

***

# 3
Material: Mn2TeSe
Method: DFT, meta-GGA SCAN
State: PBEsol geometry

Cell and atoms, written as CIF:
```
data_Mn2TeSe
_chemical_formula_sum 'Mn8 Te4 Se4'
_cell_length_a 6.4169
_cell_length_b 6.4169
_cell_length_c 6.4169
_cell_angle_alpha 90.00
_cell_angle_beta 90.00
_cell_angle_gamma 90.00
_symmetry_space_group_name_H-M 'F m -3 m'
_symmetry_Int_Tables_number 225
_symmetry_space_group_name_Hall '-F 4 2 3'
loop_
_atom_site_label
_atom_site_fract_x
_atom_site_fract_y
_atom_site_fract_z
Mn1 0.2500 0.2500 0.2500
Te1 0.0000 0.0000 0.0000
Se1 0.0000 0.0000 0.5000
```

Results
* formation energy without anion corrections: -0.0035 eV per atom
* total energy: -23.46 eV per atom
* Fermi-level density of states: 0.654 states/eV per atom
* M_tot: 6.53 μB/f.u.

***

# 4
Material: MnTe2Se
Method: DFT, meta-GGA SCAN
State: PBEsol geometry

Cell and atoms, written as CIF:
```
data_MnTe2Se
_chemical_formula_sum 'Mn2 Te4 Se2'
_cell_length_a 3.9954
_cell_length_b 3.9954
_cell_length_c 14.5072
_cell_angle_alpha 90.00
_cell_angle_beta 90.00
_cell_angle_gamma 90.00
_symmetry_space_group_name_H-M 'I 4/m m m'
_symmetry_Int_Tables_number 139
_symmetry_space_group_name_Hall '-I 4 2'
loop_
_atom_site_label
_atom_site_fract_x
_atom_site_fract_y
_atom_site_fract_z
Mn1 0.0000 0.0000 0.0000
Te1 0.0000 0.5000 0.2500
Se1 0.0000 0.0000 0.5000
```

Results
* formation energy without anion corrections: -0.0057 eV per atom
* total energy: -28.21 eV per atom
* Fermi-level density of states: 0.329 states/eV per atom
* M_tot: 4.92 μB/f.u.

***

# 5
Material: TiMnSe2
Method: DFT, meta-GGA SCAN
State: PBEsol geometry

Cell and atoms, written as CIF:
```
data_TiMnSe2
_chemical_formula_sum 'Ti3 Mn3 Se6'
_cell_length_a 3.4219
_cell_length_b 3.4219
_cell_length_c 23.9430
_cell_angle_alpha 90.00
_cell_angle_beta 90.00
_cell_angle_gamma 120.00
_symmetry_space_group_name_H-M 'R -3 m'
_symmetry_Int_Tables_number 166
_symmetry_space_group_name_Hall '-R 3 2"'
loop_
_atom_site_label
_atom_site_fract_x
_atom_site_fract_y
_atom_site_fract_z
Ti1 0.0000 0.0000 0.0000
Mn1 0.0000 0.0000 0.5000
Se1 0.0000 0.0000 0.3994
```

Results
* formation energy without anion corrections: -0.7557 eV per atom
* total energy: -19.37 eV per atom
* Fermi-level density of states: 0.534 states/eV per atom
* M_tot: 4.61 μB/f.u.

***

# 6
Material: Ti3MnSe
Method: DFT, meta-GGA SCAN
State: PBEsol geometry

Cell and atoms, written as CIF:
```
data_Ti3MnSe
_chemical_formula_sum 'Ti3 Mn1 Se1'
_cell_length_a 4.5977
_cell_length_b 4.5977
_cell_length_c 4.5977
_cell_angle_alpha 90.00
_cell_angle_beta 90.00
_cell_angle_gamma 90.00
_symmetry_space_group_name_H-M 'P m -3 m'
_symmetry_Int_Tables_number 221
_symmetry_space_group_name_Hall '-P 4 2 3'
loop_
_atom_site_label
_atom_site_fract_x
_atom_site_fract_y
_atom_site_fract_z
Ti1 0.0000 0.0000 0.5000
Mn1 0.5000 0.5000 0.5000
Se1 0.0000 0.0000 0.0000
```

Results
* formation energy without anion corrections: 0.0420 eV per atom
* total energy: -17.24 eV per atom
* Fermi-level density of states: 0.999 states/eV per atom
* M_tot: 2.54 μB/f.u.

***

# 7
Material: TiMnSe2
Method: DFT, meta-GGA SCAN
State: PBEsol geometry

Cell and atoms, written as CIF:
```
data_TiMnSe2
_chemical_formula_sum 'Ti4 Mn4 Se8'
_cell_length_a 6.3195
_cell_length_b 6.3195
_cell_length_c 6.3195
_cell_angle_alpha 90.00
_cell_angle_beta 90.00
_cell_angle_gamma 90.00
_symmetry_space_group_name_H-M 'F m -3 m'
_symmetry_Int_Tables_number 225
_symmetry_space_group_name_Hall '-F 4 2 3'
loop_
_atom_site_label
_atom_site_fract_x
_atom_site_fract_y
_atom_site_fract_z
Ti1 0.0000 0.0000 0.0000
Mn1 0.0000 0.0000 0.5000
Se1 0.2500 0.2500 0.2500
```

Results
* formation energy without anion corrections: -0.6816 eV per atom
* total energy: -19.29 eV per atom
* Fermi-level density of states: 0.147 states/eV per atom
* M_tot: 2.92 μB/f.u.

***

# 8
Material: MnTlSe2
Method: DFT, meta-GGA SCAN
State: PBEsol geometry

Cell and atoms, written as CIF:
```
data_MnTlSe2
_chemical_formula_sum 'Mn2 Tl2 Se4'
_cell_length_a 3.3386
_cell_length_b 3.5754
_cell_length_c 15.2772
_cell_angle_alpha 90.00
_cell_angle_beta 90.00
_cell_angle_gamma 90.00
_symmetry_space_group_name_H-M 'I m m 2'
_symmetry_Int_Tables_number 44
loop_
_symmetry_equiv_pos_as_xyz
'x,y,z'
'-x,-y,z'
'-x,y,z'
'x,-y,z'
'x+1/2,y+1/2,z+1/2'
'-x+1/2,-y+1/2,z+1/2'
'-x+1/2,y+1/2,z+1/2'
'x+1/2,-y+1/2,z+1/2'
loop_
_atom_site_label
_atom_site_fract_x
_atom_site_fract_y
_atom_site_fract_z
Mn1 0.0000 0.0000 0.0000
Tl1 0.0000 0.5000 0.2475
Se1 0.0000 0.0000 0.4311
Se2 0.0000 0.5000 0.6195
```

Results
* formation energy without anion corrections: -0.4705 eV per atom
* total energy: -33.16 eV per atom
* Fermi-level density of states: 0.341 states/eV per atom
* M_tot: 4.02 μB/f.u.

***

What did the first record say?
Material: MnTe3Se
Method: DFT, meta-GGA SCAN
State: PBEsol geometry

Cell and atoms, written as CIF:
```
data_MnTe3Se
_chemical_formula_sum 'Mn1 Te3 Se1'
_cell_length_a 4.9942
_cell_length_b 4.9942
_cell_length_c 4.9942
_cell_angle_alpha 90.00
_cell_angle_beta 90.00
_cell_angle_gamma 90.00
_symmetry_space_group_name_H-M 'P m -3 m'
_symmetry_Int_Tables_number 221
_symmetry_space_group_name_Hall '-P 4 2 3'
loop_
_atom_site_label
_atom_site_fract_x
_atom_site_fract_y
_atom_site_fract_z
Mn1 0.0000 0.0000 0.0000
Te1 0.0000 0.0000 0.5000
Se1 0.5000 0.5000 0.5000
```

Results
* formation energy without anion corrections: 0.3469 eV per atom
* total energy: -29.67 eV per atom
* Fermi-level density of states: 0.819 states/eV per atom
* M_tot: 3.20 μB/f.u.